No. 1
DFT (PBE) results for a relaxed Sr6Ag3Pd crystal.

Output
ρ, Mg/m³: 4.37
Energy of formation, eV/atom: -0.283
Symmetry: P2_1/m

a b c (Å): 12.1077 4.4534 14.4542
angles (deg): 90.00 111.35 90.00
Positions (direct):
1 Sr 0.0169 0.2500 0.3845
2 Sr 0.0709 0.2500 0.9035
3 Sr 0.2576 0.7500 0.3279
4 Sr 0.3421 0.7500 0.7948
5 Sr 0.3508 0.7500 0.1097
6 Sr 0.4080 0.2500 0.5828
7 Sr 0.5920 0.7500 0.4172
8 Sr 0.6492 0.2500 0.8903
9 Sr 0.6579 0.2500 0.2052
10 Sr 0.7425 0.2500 0.6721
11 Sr 0.9291 0.7500 0.0965
12 Sr 0.9831 0.7500 0.6155
13 Ag 0.1580 0.2500 0.1541
14 Ag 0.1965 0.7500 0.5346
15 Ag 0.4182 0.2500 0.9716
16 Ag 0.5818 0.7500 0.0284
17 Ag 0.8035 0.2500 0.4654
18 Ag 0.8420 0.7500 0.8459
19 Pd 0.4180 0.2500 0.2809
20 Pd 0.5820 0.7500 0.7191

=====

No. 2
DFT (PBE) results for a relaxed SrAgPd4 crystal.

Output
ΔE to the lowest computed polymorph, meV/atom: 151.2
ρ, Mg/m³: 8.78
Energy of formation, eV/atom: -0.167
Symmetry: Pmma

a b c (Å): 7.9267 4.1774 7.0938
angles (deg): 90.00 90.00 90.00
Positions (direct):
1 Sr 0.2500 0.0000 0.1548
2 Sr 0.7500 0.0000 0.8452
3 Ag 0.2500 0.0000 0.7464
4 Ag 0.7500 0.0000 0.2536
5 Pd 0.0000 0.0000 0.5000
6 Pd 0.0345 0.5000 0.7974
7 Pd 0.2500 0.5000 0.4708
8 Pd 0.4655 0.5000 0.7974
9 Pd 0.5000 0.0000 0.5000
10 Pd 0.5345 0.5000 0.2026
11 Pd 0.7500 0.5000 0.5292
12 Pd 0.9655 0.5000 0.2026

=====

No. 3
DFT (PBE) results for a relaxed SrAg6Pd4 crystal.

Output
ρ, Mg/m³: 8.16
Energy of formation, eV/atom: 0.116
Symmetry: I-42m

a b c (Å): 6.9946 6.9946 6.9946
angles (deg): 121.50 121.50 87.42
Positions (direct):
1 Sr 0.0000 0.0000 0.0000
2 Ag 0.0000 0.5000 0.5000
3 Ag 0.2474 0.2474 0.6969
4 Ag 0.4495 0.7526 0.0000
5 Ag 0.5000 0.0000 0.5000
6 Ag 0.5505 0.5505 0.3031
7 Ag 0.7526 0.4495 0.0000
8 Pd 0.1050 0.5666 0.0000
9 Pd 0.4334 0.4334 0.5384
10 Pd 0.5666 0.1050 0.0000
11 Pd 0.8950 0.8950 0.4616

=====

No. 4
DFT (PBE) results for a relaxed Sr3Ag7Pd2 crystal.

Output
ρ, Mg/m³: 7.54
Energy of formation, eV/atom: -0.273
Symmetry: R-3m

a b c (Å): 10.1378 10.1378 10.1378
angles (deg): 32.74 32.74 32.74
Positions (direct):
1 Sr 0.0000 0.0000 0.0000
2 Sr 0.1391 0.1391 0.1391
3 Sr 0.8609 0.8609 0.8609
4 Ag 0.0795 0.5809 0.5809
5 Ag 0.4191 0.4191 0.9205
6 Ag 0.4191 0.9205 0.4191
7 Ag 0.5000 0.5000 0.5000
8 Ag 0.5809 0.0795 0.5809
9 Ag 0.5809 0.5809 0.0795
10 Ag 0.9205 0.4191 0.4191
11 Pd 0.3329 0.3329 0.3329
12 Pd 0.6671 0.6671 0.6671

=====

No. 5
DFT (PBE) results for a relaxed SrAg4Pd crystal.

Output
ΔE to the lowest computed polymorph, meV/atom: 0.0
ρ, Mg/m³: 8.33
Energy of formation, eV/atom: -0.183
Symmetry: F-43m

a b c (Å): 5.6070 5.6070 5.6070
angles (deg): 60.00 60.00 60.00
Positions (direct):
1 Sr 0.0000 0.0000 0.0000
2 Ag 0.3757 0.3757 0.3757
3 Ag 0.3757 0.3757 0.8730
4 Ag 0.3757 0.8730 0.3757
5 Ag 0.8730 0.3757 0.3757
6 Pd 0.7500 0.7500 0.7500

=====

No. 6
DFT (PBE) results for a relaxed Sr2AgPd2 crystal.

Output
ΔE to the lowest computed polymorph, meV/atom: 0.0
ρ, Mg/m³: 6.56
Energy of formation, eV/atom: -0.546
Symmetry: Immm

a b c (Å): 5.9019 5.9019 5.9019
angles (deg): 133.52 119.49 79.58
Positions (direct):
1 Sr 0.2011 0.2011 0.0000
2 Sr 0.7989 0.7989 0.0000
3 Ag 0.5000 0.0000 0.5000
4 Pd 0.2336 0.5000 0.7336
5 Pd 0.7664 0.5000 0.2664